The following is a PBE-GGA calculation of a relaxed YTi2Pd2 crystal, from Alexandria via LeMat-Bulk.

Computed properties:
Formation enthalpy at 0 K, kJ/mol of atoms: -36
ΔE to the lowest computed polymorph, kcal/mol of atoms: 1.73
Density of states at the Fermi level, states/eV per cell: 10.09

```
data_YTi2Pd2
_chemical_formula_sum 'Y2 Ti4 Pd4'
_cell_length_a 7.755
_cell_length_b 7.755
_cell_length_c 3.094
_cell_angle_alpha 90.00
_cell_angle_beta 90.00
_cell_angle_gamma 90.00
_space_group_name_H-M_alt 'P 4/m b m'
_space_group_IT_number 127
_space_group_name_Hall '-P 4 2ab'
loop_
_atom_site_label
_atom_site_fract_x
_atom_site_fract_y
_atom_site_fract_z
Y1 0.000 0.000 0.000
Ti1 0.162 0.338 0.500
Pd1 0.128 0.628 0.000
```

=====

The following is a PBE-GGA calculation of a relaxed La4Pr11Tm9 crystal, from Alexandria via LeMat-Bulk.

Computed properties:
Formation enthalpy at 0 K, kJ/mol of atoms: 7
Density of states at the Fermi level, states/eV per cell: 61.16

```
data_La4Pr11Tm9
_chemical_formula_sum 'La8 Pr22 Tm18'
_cell_length_a 17.053
_cell_length_b 25.714
_cell_length_c 3.749
_cell_angle_alpha 90.00
_cell_angle_beta 90.00
_cell_angle_gamma 90.00
_space_group_name_H-M_alt 'C m m m'
_space_group_IT_number 65
_space_group_name_Hall '-C 2 2'
loop_
_atom_site_label
_atom_site_fract_x
_atom_site_fract_y
_atom_site_fract_z
La1 0.155 0.100 0.000
Pr1 0.000 0.135 0.500
Pr2 0.000 0.341 0.500
Pr3 0.000 0.500 0.500
Pr4 0.212 0.000 0.500
Pr5 0.225 0.319 0.500
Tm1 0.000 0.000 0.000
Tm2 0.100 0.236 0.000
Tm3 0.137 0.427 0.000
```

=====

The following is a PBE-GGA calculation of a relaxed Mg2ZnCu2Pd5 crystal, from Alexandria via LeMat-Bulk.

Computed properties:
Formation enthalpy at 0 K, kJ/mol of atoms: -35
Density of states at the Fermi level, states/eV per cell: 6.56

```
data_Mg2ZnCu2Pd5
_chemical_formula_sum 'Mg4 Zn2 Cu4 Pd10'
_cell_length_a 9.160
_cell_length_b 9.160
_cell_length_c 3.781
_cell_angle_alpha 90.00
_cell_angle_beta 90.00
_cell_angle_gamma 90.00
_space_group_name_H-M_alt 'P 4/m b m'
_space_group_IT_number 127
_space_group_name_Hall '-P 4 2ab'
loop_
_atom_site_label
_atom_site_fract_x
_atom_site_fract_y
_atom_site_fract_z
Mg1 0.170 0.330 0.000
Zn1 0.000 0.000 0.000
Cu1 0.127 0.627 0.000
Pd1 0.000 0.500 0.500
Pd2 0.080 0.805 0.500
```

=====

The following is a PBE-GGA calculation of a relaxed Y2GeI crystal, from Alexandria via LeMat-Bulk.

Computed properties:
ΔE to the lowest computed polymorph, kcal/mol of atoms: 12.95
E_form (uncorrected), eV/f.u.: -1.65
Density of states at the Fermi level, states/eV per cell: 13.33

```
data_Y2GeI
_chemical_formula_sum 'Y8 Ge4 I4'
_cell_length_a 6.677
_cell_length_b 6.677
_cell_length_c 13.644
_cell_angle_alpha 90.00
_cell_angle_beta 90.00
_cell_angle_gamma 90.00
_space_group_name_H-M_alt 'I -4 2 d'
_space_group_IT_number 122
_space_group_name_Hall 'I -4 2bw'
loop_
_atom_site_label
_atom_site_fract_x
_atom_site_fract_y
_atom_site_fract_z
Y1 0.200 0.250 0.125
Ge1 0.000 0.000 0.000
I1 0.000 0.000 0.500
```

=====

| no. | volume (Å³/cell) |
| --- | --- |
| 1 | 186.1 |
| 2 | 1643.9 |
| 3 | 317.2 |
| 4 | 608.2 |